Below is a relaxed structure of Nd3Si2Ni3, with properties calculated at the GGA-PBE level.

Calculated values
DFT total energy, eV/atom: -5.94
Excess energy over the best structure of this formula in the dataset, meV/atom: 0
N(E_F), states/eV per cell: 21.71

a b c (Å): 5.932 7.417 14.327
angles (deg): 90.00 90.00 90.00
Sites, in units of the cell vectors:
1 Nd 0.141 0.502 0.392
2 Nd 0.641 0.998 0.608
3 Nd 0.859 0.498 0.892
4 Nd 0.359 0.002 0.108
5 Nd 0.859 0.498 0.608
6 Nd 0.359 0.002 0.392
7 Nd 0.141 0.502 0.108
8 Nd 0.641 0.998 0.892
9 Nd 0.626 0.371 0.250
10 Nd 0.126 0.129 0.750
11 Nd 0.374 0.629 0.750
12 Nd 0.874 0.871 0.250
13 Si 0.861 0.157 0.409
14 Si 0.361 0.343 0.591
15 Si 0.139 0.843 0.909
16 Si 0.639 0.657 0.091
17 Si 0.139 0.843 0.591
18 Si 0.639 0.657 0.409
19 Si 0.861 0.157 0.091
20 Si 0.361 0.343 0.909
21 Ni 0.067 0.214 0.250
22 Ni 0.567 0.286 0.750
23 Ni 0.933 0.786 0.750
24 Ni 0.433 0.714 0.250
25 Ni 0.599 0.361 0.461
26 Ni 0.099 0.139 0.539
27 Ni 0.401 0.639 0.961
28 Ni 0.901 0.861 0.039
29 Ni 0.401 0.639 0.539
30 Ni 0.901 0.861 0.461
31 Ni 0.599 0.361 0.039
32 Ni 0.099 0.139 0.961

---

Below is a relaxed structure of Nd2Si2Ni3, with properties calculated at the GGA-PBE level.

Calculated values
DFT total energy, eV/atom: -6.02
N(E_F), states/eV per cell: 5.48

a b c (Å): 3.766 5.705 6.878
angles (deg): 117.17 90.00 109.27
Sites, in units of the cell vectors:
1 Nd 0.868 0.736 0.242
2 Nd 0.132 0.264 0.758
3 Si 0.860 0.719 0.781
4 Si 0.140 0.281 0.219
5 Ni 0.500 0.000 0.000
6 Ni 0.652 0.305 0.423
7 Ni 0.348 0.695 0.577

---

Here are the calculated formation energy from raw total energies numbers, same order: -627.4 -626.6 (meV per atom).